(1)
KCd2Ni | PBE | relaxed

Relative energy among the computed polymorphs = 188 meV per atom
Final energy = -1.887 eV/atom
Crystal system = trigonal

Unit cell a=10.2000 b=10.2000 c=10.2000 alpha=18.61 beta=18.61 gamma=18.61
Last column: nearest neighbours and their distance in Å.
Fractional positions:
K (0.0000, 0.0000, 0.0000)  6 K 3.30, 6 Cd 3.65
Cd (0.2298, 0.2298, 0.2298)  3 Ni 2.69
Cd (0.7702, 0.7702, 0.7702)  3 Ni 2.69
Ni (0.5000, 0.5000, 0.5000)  6 Cd 2.69

(2)
PmNd2Er2Th2 | PBE | relaxed

Final energy = -5.294 eV/atom
Crystal system = monoclinic

Unit cell a=6.0063 b=6.0063 c=11.9603 alpha=99.93 beta=99.93 gamma=33.49
Last column: nearest neighbours and their distance in Å.
Fractional positions:
Pm (0.0000, 0.0000, 0.0000)  6 Th 3.45-3.57, 2 Pm 3.46, 4 Er 3.68
Nd (0.3509, 0.3509, 0.4232)  1 Th 3.39, 5 Nd 3.46-3.65, 4 Er 3.57-3.62
Nd (0.6491, 0.6491, 0.5768)  1 Th 3.39, 5 Nd 3.46-3.65, 4 Er 3.57-3.62
Er (0.4076, 0.4076, 0.7265)  2 Er 3.46, 3 Th 3.51-3.55, 4 Nd 3.57-3.62, 2 Pm 3.68
Er (0.5924, 0.5924, 0.2735)  2 Er 3.46, 3 Th 3.51-3.55, 4 Nd 3.57-3.62, 2 Pm 3.68
Th (0.2917, 0.2917, 0.1352)  1 Nd 3.39, 3 Pm 3.45-3.57, 4 Th 3.46-3.64, 3 Er 3.51-3.55
Th (0.7083, 0.7083, 0.8648)  1 Nd 3.39, 3 Pm 3.45-3.57, 4 Th 3.46-3.64, 3 Er 3.51-3.55

(3)
PmPrIn6 | PBE | relaxed

Relative energy among the computed polymorphs = 53 meV per atom
Final energy = -3.664 eV/atom
Crystal system = orthorhombic

Unit cell a=5.2537 b=6.7970 c=6.7970 alpha=60.06 beta=90.00 gamma=90.00
Last column: nearest neighbours and their distance in Å.
Fractional positions:
Pm (0.0000, 0.0000, 0.0000)  12 In 3.33-3.40
Pr (0.5000, 0.3326, 0.3326)  12 In 3.35-3.40
In (0.0000, 0.5088, 0.5088)  8 In 3.21-3.59, 2 Pr 3.35, 2 Pm 3.40
In (0.0000, 0.5096, 0.9803)  6 In 3.20-3.22, 2 Pr 3.35, 2 Pm 3.40
In (0.0000, 0.9803, 0.5096)  6 In 3.20-3.22, 2 Pr 3.35, 2 Pm 3.40
In (0.5000, 0.3490, 0.8246)  8 In 3.22-3.57, 2 Pm 3.34, 2 Pr 3.40
In (0.5000, 0.8246, 0.3490)  8 In 3.22-3.57, 2 Pm 3.34, 2 Pr 3.40
In (0.5000, 0.8255, 0.8255)  8 In 3.22-3.56, 2 Pm 3.33, 2 Pr 3.40

(4)
YNb2NO5 | PBE | relaxed

Formation energy (no corrections) = -2.534 eV per atom
Relative energy among the computed polymorphs = 4 meV per atom
Final energy = -9.169 eV/atom
Crystal system = monoclinic

Unit cell a=5.3320 b=15.0556 c=5.7520 alpha=90.00 beta=90.38 gamma=90.00
Last column: nearest neighbours and their distance in Å.
Fractional positions:
Y (0.0000, 0.2493, 0.0000)  4 O 2.30-2.41, 2 N 2.38-2.40
Y (0.0000, 0.7507, 0.5000)  4 O 2.30-2.41, 2 N 2.38-2.40
Y (0.4973, 0.2490, 0.4659)  5 O 2.33-2.43, 2 N 2.37-2.61
Y (0.4973, 0.7510, 0.9659)  5 O 2.33-2.43, 2 N 2.37-2.61
Nb (0.0631, 0.4121, 0.5399)  1 N 1.80, 1 O 2.00
Nb (0.0631, 0.5879, 0.0399)  1 N 1.80, 1 O 2.00
Nb (0.4446, 0.0889, 0.9103)  2 O 1.88-1.96, 1 N 1.91
Nb (0.4446, 0.9111, 0.4103)  2 O 1.88-1.96, 1 N 1.91
Nb (0.5613, 0.4168, 0.9251)  4 O 1.85-2.02
Nb (0.5613, 0.5832, 0.4251)  4 O 1.85-2.02
Nb (0.9272, 0.0841, 0.5479)  4 O 1.87-2.08
Nb (0.9272, 0.9159, 0.0479)  4 O 1.87-2.08
N (0.1604, 0.3357, 0.3176)  1 Nb 1.80
N (0.1604, 0.6643, 0.8176)  1 Nb 1.80
N (0.7176, 0.1564, 0.7910)  2 Nb 1.91-2.10
N (0.7176, 0.8436, 0.2910)  2 Nb 1.91-2.10
O (0.0969, 0.0090, 0.8620)  1 Nb 1.98
O (0.0969, 0.9910, 0.3620)  1 Nb 1.98
O (0.2177, 0.1576, 0.6621)  2 Nb 2.01-2.13
O (0.2177, 0.8424, 0.1621)  2 Nb 2.01-2.13
O (0.2763, 0.3428, 0.7976)  2 Nb 2.02-2.13
O (0.2763, 0.6572, 0.2976)  2 Nb 2.02-2.13
O (0.3273, 0.1659, 0.1418)  1 Nb 1.88
O (0.3273, 0.8341, 0.6418)  1 Nb 1.88
O (0.3879, 0.4914, 0.5990)  2 Nb 1.94-2.13
O (0.3879, 0.5086, 0.0990)  2 Nb 1.94-2.13
O (0.6041, 0.0076, 0.5860)  2 Nb 1.96-2.08
O (0.6041, 0.9924, 0.0860)  2 Nb 1.96-2.08
O (0.6633, 0.3338, 0.1426)  1 Nb 1.85
O (0.6633, 0.6662, 0.6426)  1 Nb 1.85
O (0.7692, 0.3433, 0.6712)  2 Nb 2.03-2.15
O (0.7692, 0.6567, 0.1712)  2 Nb 2.03-2.15
O (0.8281, 0.1646, 0.3174)  1 Nb 1.87
O (0.8281, 0.8354, 0.8174)  1 Nb 1.87
O (0.8688, 0.4911, 0.8820)  2 Nb 2.00
O (0.8688, 0.5089, 0.3820)  2 Nb 2.00

(5)
Zr2WC | PBE | relaxed

Final energy = -9.334 eV/atom
Crystal system = orthorhombic

Unit cell a=5.5896 b=5.5896 c=5.5896 alpha=148.23 beta=131.05 gamma=59.54
Last column: nearest neighbours and their distance in Å.
Fractional positions:
Zr (0.1672, 0.1672, 0.0000)  2 C 2.23
Zr (0.8328, 0.8328, 0.0000)  2 C 2.23
W (0.5000, 0.0000, 0.5000)  4 C 2.78, 4 Zr 2.83, 2 W 3.06
C (0.0000, 0.5000, 0.5000)  4 Zr 2.23

(6)
KPaCuS4 | PBE | relaxed

Formation energy (no corrections) = -1.165 eV per atom
Final energy = -5.622 eV/atom
Crystal system = monoclinic

Unit cell a=6.7167 b=5.5673 c=9.0517 alpha=90.00 beta=107.45 gamma=90.00
Last column: nearest neighbours and their distance in Å.
Fractional positions:
K (0.2419, 0.2500, 0.4496)  6 S 3.13-3.44
K (0.7581, 0.7500, 0.5504)  6 S 3.13-3.44
Pa (0.2308, 0.2500, 0.9403)  6 S 2.58-2.87
Pa (0.7692, 0.7500, 0.0597)  6 S 2.58-2.87
Cu (0.2561, 0.7500, 0.1748)  4 S 2.25-2.28
Cu (0.7439, 0.2500, 0.8252)  4 S 2.25-2.28
S (0.0465, 0.7500, 0.3280)  1 Cu 2.25
S (0.0725, 0.7500, 0.9185)  1 Cu 2.28
S (0.4806, 0.5167, 0.8007)  1 Cu 2.27
S (0.4806, 0.9833, 0.8007)  1 Cu 2.27
S (0.5194, 0.0167, 0.1993)  1 Cu 2.27
S (0.5194, 0.4833, 0.1993)  1 Cu 2.27
S (0.9275, 0.2500, 0.0815)  1 Cu 2.28
S (0.9535, 0.2500, 0.6720)  1 Cu 2.25

(7)
Sc2ReSb | PBE | relaxed

Formation energy (no corrections) = 0.153 eV per atom
Final energy = -7.155 eV/atom
Crystal system = trigonal

Unit cell a=9.4933 b=9.4933 c=9.4933 alpha=19.69 beta=19.69 gamma=19.69
Last column: nearest neighbours and their distance in Å.
Fractional positions:
Sc (0.0000, 0.0000, 0.0000)  3 Re 2.81
Sc (0.2347, 0.2347, 0.2347)  3 Sb 3.10, 9 Sc 3.25-3.33
Re (0.7417, 0.7417, 0.7417)  3 Sb 2.73, 3 Sc 2.81
Sb (0.4795, 0.4795, 0.4795)  3 Re 2.73

(8)
CaReBr2 | PBE | relaxed

Formation energy (no corrections) = 0.266 eV per atom
Relative energy among the computed polymorphs = 300 meV per atom
Final energy = -4.182 eV/atom
Crystal system = trigonal

Unit cell a=10.7030 b=10.7030 c=10.7030 alpha=21.53 beta=21.53 gamma=21.53
Last column: nearest neighbours and their distance in Å.
Fractional positions:
Ca (0.0000, 0.0000, 0.0000)  6 Br 2.87
Re (0.5000, 0.5000, 0.5000)  6 Re 4.00, 6 Br 4.21
Br (0.2790, 0.2790, 0.2790)  3 Ca 2.87
Br (0.7210, 0.7210, 0.7210)  3 Ca 2.87